## Cs2Ba2SbO6 (PBE-GGA)

Data for crystalline Cs2Ba2SbO6 at its relaxed geometry.

Values from the calculation:
* M_tot: 1.091 μB/f.u.
* DOS at the Fermi energy: 0.72 states/eV/atom
* uncorrected formation energy: -1.77 eV per atom
* crystal system: monoclinic
* SG: No. 12

Unit cell a=6.5241 b=6.5241 c=7.2557 alpha=97.66 beta=97.66 gamma=118.77
With the nearest neighbours (Å) after each atom.
Fractional positions:
Cs1 0.1630 0.8370 0.0000  4 O 3.01-3.04
Cs2 0.8370 0.1630 0.0000  4 O 3.01-3.04
Ba1 0.3389 0.6611 0.5000  6 O 2.71-2.73
Ba2 0.6611 0.3389 0.5000  6 O 2.71-2.73
Sb1 0.0000 0.0000 0.5000  6 O 2.05
O1 0.0419 0.3068 0.6596  1 Sb 2.05
O2 0.2031 0.2031 0.3304  1 Sb 2.05
O3 0.3068 0.0419 0.6596  1 Sb 2.05
O4 0.6932 0.9581 0.3404  1 Sb 2.05
O5 0.7969 0.7969 0.6696  1 Sb 2.05
O6 0.9581 0.6932 0.3404  1 Sb 2.05

## Li3PrHo2Se6 (PBE-GGA)

Data for crystalline Li3PrHo2Se6 at its relaxed geometry.

Values from the calculation:
* M_tot: 0.000 μB/f.u.
* DOS at the Fermi energy: 0.00 states/eV/atom
* uncorrected formation energy: -1.68 eV per atom
* crystal system: monoclinic
* SG: No. 12

Unit cell a=7.1325 b=7.1325 c=6.9297 alpha=99.85 beta=99.85 gamma=120.02
With the nearest neighbours (Å) after each atom.
Fractional positions:
Li1 0.0000 0.0000 0.0000  6 Se 2.79-2.90
Li2 0.3317 0.6683 0.0000  6 Se 2.79-2.91
Li3 0.6683 0.3317 0.0000  6 Se 2.79-2.91
Pr1 0.5000 0.5000 0.5000  6 Se 2.96-2.97
Ho1 0.1666 0.8334 0.5000  6 Se 2.86-2.87
Ho2 0.8334 0.1666 0.5000  6 Se 2.86-2.87
Se1 0.0710 0.4154 0.2458  3 Li 2.79-2.90, 2 Ho 2.86-2.87, 1 Pr 2.96
Se2 0.2408 0.2408 0.7563  3 Li 2.79-2.91, 2 Ho 2.87, 1 Pr 2.97
Se3 0.4154 0.0710 0.2458  3 Li 2.79-2.90, 2 Ho 2.86-2.87, 1 Pr 2.96
Se4 0.5846 0.9290 0.7542  3 Li 2.79-2.90, 2 Ho 2.86-2.87, 1 Pr 2.96
Se5 0.7592 0.7592 0.2437  3 Li 2.79-2.91, 2 Ho 2.87, 1 Pr 2.97
Se6 0.9290 0.5846 0.7542  3 Li 2.79-2.90, 2 Ho 2.86-2.87, 1 Pr 2.96

## Ca3VAu (PBE-GGA)

Data for crystalline Ca3VAu at its relaxed geometry.

Values from the calculation:
* M_tot: 5.594 μB/f.u.
* DOS at the Fermi energy: 0.82 states/eV/atom
* ΔE_f: 0.65 eV/atom
* crystal system: cubic
* SG: No. 221
* relative energy among the computed polymorphs: 0.392 eV/atom

Unit cell a=5.6806 b=5.6806 c=5.6806 alpha=90.00 beta=90.00 gamma=90.00
With the nearest neighbours (Å) after each atom.
Fractional positions:
Ca1 0.0000 0.0000 0.5000  2 V 2.84
Ca2 0.0000 0.5000 0.0000  2 V 2.84
Ca3 0.5000 0.0000 0.0000  2 V 2.84
V1 0.0000 0.0000 0.0000  6 Ca 2.84
Au1 0.5000 0.5000 0.5000  12 Ca 4.02

## HfTiNbPd (PBE-GGA)

Data for crystalline HfTiNbPd at its relaxed geometry.

Values from the calculation:
* M_tot: 0.000 μB/f.u.
* DOS at the Fermi energy: 1.11 states/eV/atom
* ΔE_f: -0.25 eV/atom
* crystal system: cubic
* SG: No. 216
* relative energy among the computed polymorphs: 0.097 eV/atom

Unit cell a=4.6246 b=4.6246 c=4.6246 alpha=60.00 beta=60.00 gamma=60.00
With the nearest neighbours (Å) after each atom.
Fractional positions:
Hf1 0.0000 0.0000 0.0000  4 Pd 2.83, 4 Nb 2.83
Ti1 0.5000 0.5000 0.5000  4 Pd 2.83, 4 Nb 2.83
Nb1 0.2500 0.2500 0.2500  4 Hf 2.83, 4 Ti 2.83
Pd1 0.7500 0.7500 0.7500  4 Hf 2.83, 4 Ti 2.83